Compound: YThCoAu
Source: Alexandria
Functional: PBE-GGA
Structure: relaxed

CIF file:
```
data_YThCoAu
_chemical_formula_sum 'Y4 Th4 Co4 Au4'
_symmetry_space_group_name_H-M 'F -4 3 m'
_symmetry_Int_Tables_number 216
_symmetry_space_group_name_Hall 'F -4 2 3'
_cell_length_a 7.128
_cell_length_b 7.128
_cell_length_c 7.128
_cell_angle_alpha 90.00
_cell_angle_beta 90.00
_cell_angle_gamma 90.00
loop_
_atom_site_label
_atom_site_type_symbol
_atom_site_fract_x
_atom_site_fract_y
_atom_site_fract_z
Y1 Y 0.000 0.000 0.000
Th1 Th 0.000 0.000 0.500
Co1 Co 0.250 0.250 0.250
Au1 Au 0.250 0.250 0.750
```

# PBE-GGA Sr2Cu2Pt, relaxed
data_Sr2Cu2Pt
_chemical_formula_sum 'Sr4 Cu4 Pt2'
_symmetry_space_group_name_H-M 'I 4/m m m'
_symmetry_Int_Tables_number 139
_symmetry_space_group_name_Hall '-I 4 2'
_cell_length_a 5.826
_cell_length_b 5.826
_cell_length_c 7.393
_cell_angle_alpha 90.00
_cell_angle_beta 90.00
_cell_angle_gamma 90.00
loop_
_atom_site_label
_atom_site_type_symbol
_atom_site_fract_x
_atom_site_fract_y
_atom_site_fract_z
Sr1 Sr 0.000 0.500 0.250
Cu1 Cu 0.000 0.000 0.158
Pt1 Pt 0.000 0.000 0.500
# Excess energy over the best structure of this formula in the dataset in meV per atom: 171

Compound: Ta2Te
Source: Alexandria
Functional: PBE-GGA
Structure: relaxed

CIF file:
```
data_Ta2Te
_chemical_formula_sum 'Ta8 Te4'
_symmetry_space_group_name_H-M 'P a -3'
_symmetry_Int_Tables_number 205
_symmetry_space_group_name_Hall '-P 2ac 2ab 3'
_cell_length_a 6.489
_cell_length_b 6.489
_cell_length_c 6.489
_cell_angle_alpha 90.00
_cell_angle_beta 90.00
_cell_angle_gamma 90.00
loop_
_atom_site_label
_atom_site_type_symbol
_atom_site_fract_x
_atom_site_fract_y
_atom_site_fract_z
Ta1 Ta 0.120 0.120 0.120
Te1 Te 0.000 0.000 0.500
```

Compound: CaTa2Al
Source: Alexandria
Functional: PBE-GGA
Structure: relaxed

CIF file:
```
data_CaTa2Al
_chemical_formula_sum 'Ca1 Ta2 Al1'
_symmetry_space_group_name_H-M 'P m m m'
_symmetry_Int_Tables_number 47
_cell_length_a 2.976
_cell_length_b 4.082
_cell_length_c 6.947
_cell_angle_alpha 90.00
_cell_angle_beta 90.00
_cell_angle_gamma 90.00
loop_
_symmetry_equiv_pos_as_xyz
'x,y,z'
'-x,-y,-z'
'-x,-y,z'
'x,y,-z'
'x,-y,-z'
'-x,y,z'
'-x,y,-z'
'x,-y,z'
loop_
_atom_site_label
_atom_site_type_symbol
_atom_site_fract_x
_atom_site_fract_y
_atom_site_fract_z
Ca1 Ca 0.000 0.000 0.000
Ta1 Ta 0.500 0.500 0.311
Al1 Al 0.000 0.000 0.500
```

Compound: NaTaAlF2
Source: Alexandria
Functional: PBE-GGA
Structure: relaxed

CIF file:
```
data_NaTaAlF2
_chemical_formula_sum 'Na1 Ta1 Al1 F2'
_symmetry_space_group_name_H-M 'P 4/m m m'
_symmetry_Int_Tables_number 123
_symmetry_space_group_name_Hall '-P 4 2'
_cell_length_a 3.776
_cell_length_b 3.776
_cell_length_c 6.580
_cell_angle_alpha 90.00
_cell_angle_beta 90.00
_cell_angle_gamma 90.00
loop_
_atom_site_label
_atom_site_type_symbol
_atom_site_fract_x
_atom_site_fract_y
_atom_site_fract_z
Na1 Na 0.000 0.000 0.000
Ta1 Ta 0.500 0.500 0.000
Al1 Al 0.000 0.000 0.500
F1 F 0.000 0.500 0.500
```

Compound: Nd2DyHoTl4
Source: Alexandria
Functional: PBE-GGA
Structure: relaxed

CIF file:
```
data_Nd2DyHoTl4
_chemical_formula_sum 'Nd6 Dy3 Ho3 Tl12'
_symmetry_space_group_name_H-M 'R -3 m'
_symmetry_Int_Tables_number 166
_symmetry_space_group_name_Hall '-R 3 2"'
_cell_length_a 5.4397
_cell_length_b 5.4397
_cell_length_c 26.7001
_cell_angle_alpha 90.00
_cell_angle_beta 90.00
_cell_angle_gamma 120.00
loop_
_atom_site_label
_atom_site_type_symbol
_atom_site_fract_x
_atom_site_fract_y
_atom_site_fract_z
Nd1 Nd 0.0000 0.0000 0.2502
Dy1 Dy 0.0000 0.0000 0.5000
Ho1 Ho 0.0000 0.0000 0.0000
Tl1 Tl 0.0000 0.0000 0.1250
Tl2 Tl 0.0000 0.0000 0.3749
```

Compound: Nb2Pd2Rh3
Source: Alexandria
Functional: PBE-GGA
Structure: relaxed

CIF file:
```
data_Nb2Pd2Rh3
_chemical_formula_sum 'Nb8 Pd8 Rh12'
_symmetry_space_group_name_H-M 'I 21 3'
_symmetry_Int_Tables_number 199
_symmetry_space_group_name_Hall 'I 2b 2c 3'
_cell_length_a 7.742
_cell_length_b 7.742
_cell_length_c 7.742
_cell_angle_alpha 90.00
_cell_angle_beta 90.00
_cell_angle_gamma 90.00
loop_
_atom_site_label
_atom_site_type_symbol
_atom_site_fract_x
_atom_site_fract_y
_atom_site_fract_z
Nb1 Nb 0.224 0.224 0.224
Pd1 Pd 0.089 0.411 0.589
Rh1 Rh 0.000 0.250 0.964
```

# PBE-GGA La2Sb2As, relaxed
data_La2Sb2As
_chemical_formula_sum 'La4 Sb4 As2'
_symmetry_space_group_name_H-M 'P 4/m b m'
_symmetry_Int_Tables_number 127
_symmetry_space_group_name_Hall '-P 4 2ab'
_cell_length_a 8.211
_cell_length_b 8.211
_cell_length_c 4.689
_cell_angle_alpha 90.00
_cell_angle_beta 90.00
_cell_angle_gamma 90.00
loop_
_atom_site_label
_atom_site_type_symbol
_atom_site_fract_x
_atom_site_fract_y
_atom_site_fract_z
La1 La 0.181 0.319 0.000
Sb1 Sb 0.122 0.622 0.500
As1 As 0.000 0.000 0.000
# Excess energy over the best structure of this formula in the dataset in meV per atom: 0

Compound: ZrScRu4
Source: Alexandria
Functional: PBE-GGA
Structure: relaxed

CIF file:
```
data_ZrScRu4
_chemical_formula_sum 'Zr4 Sc4 Ru16'
_symmetry_space_group_name_H-M 'F -4 3 m'
_symmetry_Int_Tables_number 216
_symmetry_space_group_name_Hall 'F -4 2 3'
_cell_length_a 7.357
_cell_length_b 7.357
_cell_length_c 7.357
_cell_angle_alpha 90.00
_cell_angle_beta 90.00
_cell_angle_gamma 90.00
loop_
_atom_site_label
_atom_site_type_symbol
_atom_site_fract_x
_atom_site_fract_y
_atom_site_fract_z
Zr1 Zr 0.000 0.000 0.000
Sc1 Sc 0.250 0.250 0.750
Ru1 Ru 0.125 0.125 0.375
```

# PBE-GGA PmGdZr, relaxed
data_PmGdZr
_chemical_formula_sum 'Pm1 Gd1 Zr1'
_symmetry_space_group_name_H-M 'P -6 m 2'
_symmetry_Int_Tables_number 187
_symmetry_space_group_name_Hall 'P -6 2'
_cell_length_a 5.4419
_cell_length_b 5.4419
_cell_length_c 3.3994
_cell_angle_alpha 90.00
_cell_angle_beta 90.00
_cell_angle_gamma 120.00
loop_
_atom_site_label
_atom_site_type_symbol
_atom_site_fract_x
_atom_site_fract_y
_atom_site_fract_z
Pm1 Pm 0.0000 0.0000 0.0000
Gd1 Gd 0.3333 0.6667 0.5000
Zr1 Zr 0.6667 0.3333 0.0000
# Excess energy over the best structure of this formula in the dataset in meV per atom: 55

Compound: Cd2InMoS
Source: Alexandria
Functional: PBE-GGA
Structure: relaxed

CIF file:
```
data_Cd2InMoS
_chemical_formula_sum 'Cd2 In1 Mo1 S1'
_symmetry_space_group_name_H-M 'P 4/m m m'
_symmetry_Int_Tables_number 123
_symmetry_space_group_name_Hall '-P 4 2'
_cell_length_a 5.471
_cell_length_b 5.471
_cell_length_c 4.483
_cell_angle_alpha 90.00
_cell_angle_beta 90.00
_cell_angle_gamma 90.00
loop_
_atom_site_label
_atom_site_type_symbol
_atom_site_fract_x
_atom_site_fract_y
_atom_site_fract_z
Cd1 Cd 0.000 0.500 0.000
In1 In 0.000 0.000 0.500
Mo1 Mo 0.500 0.500 0.000
S1 S 0.500 0.500 0.500
```

# PBE-GGA TmSnBi, relaxed
data_TmSnBi
_chemical_formula_sum 'Tm4 Sn4 Bi4'
_symmetry_space_group_name_H-M 'C m c m'
_symmetry_Int_Tables_number 63
_symmetry_space_group_name_Hall '-C 2c 2'
_cell_length_a 4.412
_cell_length_b 16.730
_cell_length_c 4.463
_cell_angle_alpha 90.00
_cell_angle_beta 90.00
_cell_angle_gamma 90.00
loop_
_atom_site_label
_atom_site_type_symbol
_atom_site_fract_x
_atom_site_fract_y
_atom_site_fract_z
Tm1 Tm 0.000 0.103 0.250
Sn1 Sn 0.000 0.251 0.750
Bi1 Bi 0.000 0.426 0.250
# Excess energy over the best structure of this formula in the dataset in meV per atom: 0

| no. | D(E_F) (states/eV per cell) | total DFT energy (no corrections) (eV/atom) |
| --- | --- | --- |
| 1 | 13.51 | -6.411 |
| 2 | 5.05 | -3.708 |
| 3 | 6.23 | -7.959 |
| 4 | 3.61 | -6.972 |
| 5 | 1.74 | -4.315 |
| 6 | 18.96 | -3.881 |
| 7 | 15.13 | -7.622 |
| 8 | 7.12 | -5.470 |
| 9 | 21.12 | -9.017 |
| 10 | 5.95 | -8.969 |
| 11 | 2.91 | -3.611 |
| 12 | 5.98 | -4.598 |